(1)
Density functional theory data (PBE) for CaBe2 after structural relaxation.

calculated formation energy = 0.18 eV/atom
relative energy among the computed polymorphs = 0 meV per atom

a = 5.6411 Å, b = 5.6411 Å, c = 5.5589 Å
α = 67.96°, β = 67.96°, γ = 39.67°
Fractional coordinates of all 6 atoms:
Ca1 0.1021 0.1021 0.6930
Ca2 0.8979 0.8979 0.3070
Be1 0.3898 0.3898 0.7179
Be2 0.2229 0.2229 0.0912
Be3 0.7771 0.7771 0.9088
Be4 0.6102 0.6102 0.2821


(2)
Density functional theory data (PBE) for Sr2InTc after structural relaxation.

calculated formation energy = 0.50 eV/atom

a = 4.9834 Å, b = 4.9808 Å, c = 4.6359 Å
α = 90.00°, β = 90.00°, γ = 90.00°
Last column: magnetic moment on the atom in μB.
Fractional coordinates of all 4 atoms:
Sr1 0.0000 0.0000 0.0000  -0.05
Sr2 0.5000 0.5000 0.0000  -0.05
In1 0.0000 0.5000 0.5000  -0.09
Tc1 0.5000 0.0000 0.5000  1.93


(3)
Density functional theory data (PBE) for RbTeCI2 after structural relaxation.

E_form (uncorrected) = 1.650 eV per atom
relative energy among the computed polymorphs = 1202 meV per atom

a = 7.0464 Å, b = 7.0464 Å, c = 7.3778 Å
α = 90.00°, β = 90.00°, γ = 90.00°
Last column: magnetic moment on the atom in μB.
Fractional coordinates of all 5 atoms:
Te1 0.0000 0.0000 0.5000  1.01
C1 0.5000 0.5000 0.5000  0.96
I1 0.5000 0.0000 0.0000  0.29
I2 0.0000 0.5000 0.0000  0.29
Rb1 0.0000 0.0000 0.0000  0.00


(4)
Density functional theory data (PBE) for Ba2PtCl after structural relaxation.

E_form (uncorrected) = -1.176 eV per atom
relative energy among the computed polymorphs = 197 meV per atom

a = 5.5877 Å, b = 5.6233 Å, c = 3.8326 Å
α = 90.00°, β = 90.00°, γ = 90.00°
Fractional coordinates of all 4 atoms:
Cl1 0.5000 0.0000 0.5000
Pt1 0.0000 0.5000 0.5000
Ba1 0.5000 0.5000 0.0000
Ba2 0.0000 0.0000 0.0000


(5)
Density functional theory data (PBE) for AcLaGeIr after structural relaxation.

calculated formation energy = -0.50 eV/atom
relative energy among the computed polymorphs = 0 meV per atom

a = 5.3001 Å, b = 5.3001 Å, c = 5.3001 Å
α = 60.00°, β = 60.00°, γ = 60.00°
Fractional coordinates of all 4 atoms:
Ac1 0.5000 0.5000 0.5000
Ir1 0.7500 0.7500 0.7500
La1 0.0000 0.0000 0.0000
Ge1 0.2500 0.2500 0.2500


(6)
Density functional theory data (PBE) for CaCu4Ge after structural relaxation.

calculated formation energy = -0.06 eV/atom
relative energy among the computed polymorphs = 86 meV per atom

a = 4.0694 Å, b = 6.2493 Å, c = 7.8452 Å
α = 90.00°, β = 105.03°, γ = 90.00°
Fractional coordinates of all 12 atoms:
Cu1 0.9278 0.2500 0.8556
Cu2 0.0722 0.7500 0.1444
Cu3 0.6669 0.9380 0.3338
Cu4 0.3331 0.4380 0.6662
Cu5 0.5000 0.0000 0.0000
Cu6 0.6669 0.5620 0.3338
Cu7 0.3331 0.0620 0.6662
Cu8 0.5000 0.5000 0.0000
Ge1 0.2341 0.7500 0.4682
Ge2 0.7659 0.2500 0.5318
Ca1 0.8837 0.7500 0.7674
Ca2 0.1163 0.2500 0.2326


The evaluated volume for the records listed, in turn: 17.3; 28.8; 73.3; 30.1; 26.3; 16.1 Å³/atom.